# PmReW

An optimized crystal structure of PmReW (PBE, Alexandria).

Cell and atoms, written as CIF:
```
data_PmReW
_symmetry_space_group_name_H-M 'I m m a'
_symmetry_Int_Tables_number 74
_symmetry_space_group_name_Hall '-I 2b 2'
_cell_length_a 5.522
_cell_length_b 5.595
_cell_length_c 7.790
_cell_angle_alpha 90.00
_cell_angle_beta 90.00
_cell_angle_gamma 90.00
loop_
_atom_site_label
_atom_site_type_symbol
_atom_site_fract_x
_atom_site_fract_y
_atom_site_fract_z
_atom_site_occupancy
Pm1 Pm 0.000 0.250 0.123 1
Re1 Re 0.250 0.250 0.750 1
W1 W 0.000 0.000 0.500 1
```

Results
ΔE to the lowest computed polymorph: 0 meV/atom
DFT formation energy: 0.0812 eV/atom